PrSmI6: relaxed, PBE.

```
data_PrSmI6
_chemical_formula_sum 'Pr3 Sm3 I18'
_cell_length_a 7.7917
_cell_length_b 7.7917
_cell_length_c 21.1866
_cell_angle_alpha 90.00
_cell_angle_beta 90.00
_cell_angle_gamma 120.00
_symmetry_space_group_name_H-M 'R -3'
_symmetry_Int_Tables_number 148
_symmetry_space_group_name_Hall '-R 3'
loop_
_atom_site_label
_atom_site_type_symbol
_atom_site_fract_x
_atom_site_fract_y
_atom_site_fract_z
_atom_site_occupancy
Pr1 Pr 0.0000 0.0000 0.0000 1
Sm1 Sm 0.0000 0.0000 0.5000 1
I1 I 0.0010 0.3293 0.5826 1
```

Values from the calculation:
The size of the total moment comes out at 0.00 μB/atom. The calculation puts the raw formation energy at -130.5 kJ/mol of atoms. The calculation puts the offset from the most stable computed form at 21 meV per atom.